Record 1
Compound: TaCI2
Source: Alexandria via LeMat-Bulk
Functional: PBE-GGA
Structure: optimized geometry

Cell: 6.804 6.804 6.804 Å, 90.00 90.00 90.00°
Space group Fm-3m (No. 225)
One atom of each set of equivalent atoms:
Ta1 0.000 0.000 0.000
C1 0.000 0.000 0.500
I1 0.250 0.250 0.250

Total magnetization (μB/f.u.): 0.00
DOS(E_F) (states/eV/f.u.): 2.64
Density (g/cm³): 9.42
Formation energy (no corrections) (kJ/mol of formula units): 697
Excess energy over the best structure of this formula in the dataset (eV per atom): 0.000

Record 2
Compound: Ta3CI
Source: Alexandria via LeMat-Bulk
Functional: PBE-GGA
Structure: optimized geometry

Cell: 4.393 4.393 4.393 Å, 90.00 90.00 90.00°
Space group Pm-3m (No. 221)
One atom of each set of equivalent atoms:
Ta1 0.000 0.000 0.500
C1 0.000 0.000 0.000
I1 0.500 0.500 0.500

Total magnetization (μB/f.u.): 0.00
DOS(E_F) (states/eV/f.u.): 2.87
Density (g/cm³): 13.35
Formation energy (no corrections) (kJ/mol of formula units): 280
Excess energy over the best structure of this formula in the dataset (eV per atom): 0.000

Record 3
Compound: Ta2CI
Source: Alexandria via LeMat-Bulk
Functional: PBE-GGA
Structure: optimized geometry

Cell: 6.348 6.348 6.348 Å, 90.00 90.00 90.00°
Space group Fm-3m (No. 225)
One atom of each set of equivalent atoms:
Ta1 0.250 0.250 0.250
C1 0.000 0.000 0.000
I1 0.000 0.000 0.500

Total magnetization (μB/f.u.): 0.00
DOS(E_F) (states/eV/f.u.): 5.96
Density (g/cm³): 13.00
Formation energy (no corrections) (kJ/mol of formula units): 523
Excess energy over the best structure of this formula in the dataset (eV per atom): 0.658

Record 4
Compound: Ta2CI
Source: Alexandria via LeMat-Bulk
Functional: PBE-GGA
Structure: optimized geometry

Cell: 5.383 5.383 11.611 Å, 90.00 90.00 90.00°
Space group I-42d (No. 122)
One atom of each set of equivalent atoms:
Ta1 0.118 0.250 0.125
C1 0.000 0.000 0.000
I1 0.000 0.000 0.500

Total magnetization (μB/f.u.): 0.00
DOS(E_F) (states/eV/f.u.): 1.51
Density (g/cm³): 9.89
Formation energy (no corrections) (kJ/mol of formula units): 269
Excess energy over the best structure of this formula in the dataset (eV per atom): 0.000